1.
This record from Alexandria via LeMat-Bulk describes a relaxed structure of ThScMnFe. The functional is GGA-PBE.

Lattice parameters (Å, degrees): 6.6648 6.6648 6.6648 90.00 90.00 90.00
Last column: nearest neighbours and their distance in Å.
Element x y z (fractional)
1 Th 0.0000 0.0000 0.0000  4 Fe 2.89, 4 Mn 2.89
2 Th 0.0000 0.5000 0.5000  4 Fe 2.89, 4 Mn 2.89
3 Th 0.5000 0.0000 0.5000  4 Fe 2.89, 4 Mn 2.89
4 Th 0.5000 0.5000 0.0000  4 Fe 2.89, 4 Mn 2.89
5 Sc 0.0000 0.0000 0.5000  4 Mn 2.89, 4 Fe 2.89
6 Sc 0.0000 0.5000 0.0000  4 Mn 2.89, 4 Fe 2.89
7 Sc 0.5000 0.0000 0.0000  4 Mn 2.89, 4 Fe 2.89
8 Sc 0.5000 0.5000 0.5000  4 Mn 2.89, 4 Fe 2.89
9 Mn 0.2500 0.2500 0.7500  4 Th 2.89, 4 Sc 2.89
10 Mn 0.2500 0.7500 0.2500  4 Th 2.89, 4 Sc 2.89
11 Mn 0.7500 0.2500 0.2500  4 Th 2.89, 4 Sc 2.89
12 Mn 0.7500 0.7500 0.7500  4 Th 2.89, 4 Sc 2.89
13 Fe 0.2500 0.2500 0.2500  4 Sc 2.89, 4 Th 2.89
14 Fe 0.2500 0.7500 0.7500  4 Th 2.89, 4 Sc 2.89
15 Fe 0.7500 0.2500 0.7500  4 Th 2.89, 4 Sc 2.89
16 Fe 0.7500 0.7500 0.2500  4 Th 2.89, 4 Sc 2.89

Calculated values
For the density of states at the Fermi level, the calculation gives 10.3 states/eV/cell. The formation energy is 51 meV/atom. The total magnetization comes out at 2.62 μB per formula unit. The calculation puts the total energy at -124.711 eV per cell. The space group is F-43m.

***

2.
This record from Alexandria via LeMat-Bulk describes a relaxed structure of ScMn2TlFe. The functional is GGA-PBE.

Lattice parameters (Å, degrees): 4.4507 4.4507 5.3260 90.00 90.00 90.00
Last column: nearest neighbours and their distance in Å.
Element x y z (fractional)
1 Sc 0.0000 0.0000 0.0000  4 Mn 2.23
2 Mn 0.0000 0.5000 0.0000  2 Sc 2.23
3 Mn 0.5000 0.0000 0.0000  2 Sc 2.23
4 Tl 0.0000 0.0000 0.5000  2 Sc 2.66
5 Fe 0.5000 0.5000 0.5000  4 Tl 3.15, 8 Mn 3.47

Calculated values
For the density of states at the Fermi level, the calculation gives 8.4 states/eV/cell. The formation energy is 1778 meV/atom. The total magnetization comes out at 5.69 μB per formula unit. The calculation puts the total energy at -26.608 eV per cell. The space group is P4/mmm.

***

3.
This record from Alexandria via LeMat-Bulk describes a relaxed structure of ScMnTl2Fe. The functional is GGA-PBE.

Lattice parameters (Å, degrees): 5.5305 5.5305 4.5469 90.00 90.00 90.00
Last column: nearest neighbours and their distance in Å.
Element x y z (fractional)
1 Sc 0.0000 0.0000 0.0000  2 Mn 2.27
2 Mn 0.0000 0.0000 0.5000  2 Sc 2.27
3 Tl 0.0000 0.5000 0.0000  2 Sc 2.77
4 Tl 0.5000 0.0000 0.0000  2 Sc 2.77
5 Fe 0.5000 0.5000 0.5000  8 Tl 3.58, 4 Mn 3.91

Calculated values
For the density of states at the Fermi level, the calculation gives 5.0 states/eV/cell. The formation energy is 1296 meV/atom. The total magnetization comes out at 5.76 μB per formula unit. The calculation puts the total energy at -22.214 eV per cell. The space group is P4/mmm.

***

4.
This record from Alexandria via LeMat-Bulk describes a relaxed structure of ScMnZnFe. The functional is GGA-PBE.

Lattice parameters (Å, degrees): 6.1865 6.1865 6.1865 90.00 90.00 90.00
Last column: nearest neighbours and their distance in Å.
Element x y z (fractional)
1 Sc 0.0000 0.0000 0.0000  4 Fe 2.68, 4 Zn 2.68
2 Sc 0.0000 0.5000 0.5000  4 Fe 2.68, 4 Zn 2.68
3 Sc 0.5000 0.0000 0.5000  4 Fe 2.68, 4 Zn 2.68
4 Sc 0.5000 0.5000 0.0000  4 Fe 2.68, 4 Zn 2.68
5 Mn 0.0000 0.0000 0.5000  4 Fe 2.68, 4 Zn 2.68
6 Mn 0.0000 0.5000 0.0000  4 Fe 2.68, 4 Zn 2.68
7 Mn 0.5000 0.0000 0.0000  4 Fe 2.68, 4 Zn 2.68
8 Mn 0.5000 0.5000 0.5000  4 Fe 2.68, 4 Zn 2.68
9 Zn 0.2500 0.2500 0.2500  4 Mn 2.68, 4 Sc 2.68
10 Zn 0.2500 0.7500 0.7500  4 Mn 2.68, 4 Sc 2.68
11 Zn 0.7500 0.2500 0.7500  4 Mn 2.68, 4 Sc 2.68
12 Zn 0.7500 0.7500 0.2500  4 Mn 2.68, 4 Sc 2.68
13 Fe 0.2500 0.2500 0.7500  4 Mn 2.68, 4 Sc 2.68
14 Fe 0.2500 0.7500 0.2500  4 Mn 2.68, 4 Sc 2.68
15 Fe 0.7500 0.2500 0.2500  4 Mn 2.68, 4 Sc 2.68
16 Fe 0.7500 0.7500 0.7500  4 Sc 2.68, 4 Mn 2.68

Calculated values
For the density of states at the Fermi level, the calculation gives 16.4 states/eV/cell. The formation energy is 15 meV/atom. The total magnetization comes out at 4.43 μB per formula unit. The calculation puts the total energy at -100.713 eV per cell. The space group is F-43m.

***

5.
This record from Alexandria via LeMat-Bulk describes a relaxed structure of Mn2FeSe. The functional is GGA-PBE.

Lattice parameters (Å, degrees): 3.1847 3.7960 4.9038 90.00 108.77 90.00
Last column: nearest neighbours and their distance in Å.
Element x y z (fractional)
1 Mn 0.0000 0.0000 0.0000  1 Fe 2.37, 4 Se 2.60
2 Mn 0.3105 0.5000 0.6281  3 Se 2.51-2.66, 4 Fe 2.56
3 Fe 0.7394 0.0000 0.4888  5 Mn 2.37-2.56, 2 Se 2.41
4 Se 0.5837 0.5000 0.1693  2 Fe 2.41, 7 Mn 2.51-2.66

Calculated values
As for the uncorrected formation energy: 0.1847 eV per atom. For the density of states at the Fermi level, the calculation gives 2.1 states/eV/cell. The total magnetization comes out at 8.18 μB per formula unit. The calculation puts the total energy at -29.548 eV per cell. The space group is Pm.

***

6.
This record from Alexandria via LeMat-Bulk describes a relaxed structure of Mn4FeSe. The functional is GGA-PBE.

Lattice parameters (Å, degrees): 4.7659 4.7659 4.7659 60.00 60.00 60.00
Last column: nearest neighbours and their distance in Å.
Element x y z (fractional)
1 Mn 0.1254 0.1254 0.1254  6 Mn 2.38-2.39
2 Mn 0.1254 0.1254 0.6239  6 Mn 2.38-2.39
3 Mn 0.1254 0.6239 0.1254  6 Mn 2.38-2.39
4 Mn 0.6239 0.1254 0.1254  6 Mn 2.38-2.39
5 Fe 0.5000 0.5000 0.5000  12 Mn 2.79, 4 Se 2.92
6 Se 0.7500 0.7500 0.7500  12 Mn 2.80, 4 Fe 2.92

Calculated values
As for the uncorrected formation energy: 0.4903 eV per atom. For the density of states at the Fermi level, the calculation gives 8.9 states/eV/cell. The total magnetization comes out at 8.81 μB per formula unit. The calculation puts the total energy at -45.683 eV per cell. The space group is F-43m.

***

7.
This record from Alexandria via LeMat-Bulk describes a relaxed structure of Mn2FeSe. The functional is GGA-PBE.

Lattice parameters (Å, degrees): 5.7851 5.7851 5.7851 90.00 90.00 90.00
Last column: nearest neighbours and their distance in Å.
Element x y z (fractional)
1 Mn 0.0000 0.0000 0.0000  4 Mn 2.51, 4 Fe 2.51
2 Mn 0.0000 0.5000 0.5000  4 Mn 2.51, 4 Fe 2.51
3 Mn 0.2500 0.2500 0.2500  4 Mn 2.51, 4 Se 2.51
4 Mn 0.2500 0.7500 0.7500  4 Mn 2.51, 4 Se 2.51
5 Mn 0.5000 0.0000 0.5000  4 Mn 2.51, 4 Fe 2.51
6 Mn 0.5000 0.5000 0.0000  4 Mn 2.51, 4 Fe 2.51
7 Mn 0.7500 0.2500 0.7500  4 Mn 2.51, 4 Se 2.51
8 Mn 0.7500 0.7500 0.2500  4 Mn 2.51, 4 Se 2.51
9 Fe 0.2500 0.2500 0.7500  4 Mn 2.51, 4 Se 2.51
10 Fe 0.2500 0.7500 0.2500  4 Mn 2.51, 4 Se 2.51
11 Fe 0.7500 0.2500 0.2500  4 Mn 2.51, 4 Se 2.51
12 Fe 0.7500 0.7500 0.7500  4 Mn 2.51, 4 Se 2.51
13 Se 0.0000 0.0000 0.5000  4 Mn 2.51, 4 Fe 2.51
14 Se 0.0000 0.5000 0.0000  4 Mn 2.51, 4 Fe 2.51
15 Se 0.5000 0.0000 0.0000  4 Mn 2.51, 4 Fe 2.51
16 Se 0.5000 0.5000 0.5000  4 Mn 2.51, 4 Fe 2.51

Calculated values
As for the uncorrected formation energy: 0.2463 eV per atom. For the density of states at the Fermi level, the calculation gives 12.6 states/eV/cell. The total magnetization comes out at 3.86 μB per formula unit. The calculation puts the total energy at -117.205 eV per cell. The space group is F-43m.

***

8.
This record from Alexandria via LeMat-Bulk describes a relaxed structure of Mn2FeSe. The functional is GGA-PBE.

Lattice parameters (Å, degrees): 5.0963 5.0963 10.1989 90.00 90.00 90.00
Last column: nearest neighbours and their distance in Å.
Element x y z (fractional)
1 Mn 0.2171 0.2500 0.1250  2 Fe 2.11, 2 Se 2.31
2 Mn 0.2500 0.7171 0.3750  2 Fe 2.11, 2 Se 2.31
3 Mn 0.2500 0.7829 0.8750  2 Fe 2.11, 2 Se 2.31
4 Mn 0.2829 0.2500 0.6250  2 Fe 2.11, 2 Se 2.31
5 Mn 0.7171 0.7500 0.6250  2 Fe 2.11, 2 Se 2.31
6 Mn 0.7500 0.2171 0.8750  2 Fe 2.11, 2 Se 2.31
7 Mn 0.7500 0.2829 0.3750  2 Fe 2.11, 2 Se 2.31
8 Mn 0.7829 0.7500 0.1250  2 Fe 2.11, 2 Se 2.31
9 Fe 0.0000 0.0000 0.0000  4 Mn 2.11
10 Fe 0.0000 0.5000 0.2500  4 Mn 2.11
11 Fe 0.5000 0.0000 0.7500  4 Mn 2.11
12 Fe 0.5000 0.5000 0.5000  4 Mn 2.11
13 Se 0.0000 0.0000 0.5000  4 Mn 2.31
14 Se 0.0000 0.5000 0.7500  4 Mn 2.31
15 Se 0.5000 0.0000 0.2500  4 Mn 2.31
16 Se 0.5000 0.5000 0.0000  4 Mn 2.31

Calculated values
As for the uncorrected formation energy: 0.7167 eV per atom. For the density of states at the Fermi level, the calculation gives 5.2 states/eV/cell. The total magnetization comes out at 0.00 μB per formula unit. The calculation puts the total energy at -109.677 eV per cell. The space group is I-42d.